[1]
The following is a DFT calculation (PBE) of a relaxed structure of LiNiMoAu.

Summary:
Polymorph energy (0 for the lowest one): 0.00 kcal/mol of atoms

POSCAR file:
```
LiNiMoAu
1.0
-0.2448 -0.8515 4.1417
-3.7768 -0.1548 1.9106
-1.5599 -3.7134 1.3099
Au Mo Ni Li
1 1 1 1
direct
0.5000 0.5000 0.5000
0.0000 0.0000 0.0000
0.2500 0.2500 0.2500
0.7500 0.7500 0.7500
```

[2]
The following is a DFT calculation (PBE) of a relaxed structure of In2CoAgCl6.

Summary:
Energy: -32.6 eV/cell

POSCAR file:
```
In2CoAgCl6
1.0
0.0000 4.9026 4.9026
4.9026 0.0000 4.9026
4.9026 4.9026 0.0000
In Cl Co Ag
2 6 1 1
direct
0.2500 0.2500 0.2500
0.7500 0.7500 0.7500
0.7318 0.7318 0.2682
0.2682 0.7318 0.2682
0.2682 0.2682 0.7318
0.7318 0.2682 0.7318
0.7318 0.2682 0.2682
0.2682 0.7318 0.7318
0.5000 0.5000 0.5000
0.0000 0.0000 0.0000
```

[3]
The following is a DFT calculation (PBE) of a relaxed structure of RbTaBePt.

Summary:
Polymorph energy (0 for the lowest one): 6.07 kcal/mol of atoms

POSCAR file:
```
RbTaBePt
1.0
-2.4835 -0.4007 4.1272
-3.5165 3.1552 1.0206
-4.6199 -1.4184 -0.0874
Rb Ta Pt Be
1 1 1 1
direct
0.5000 0.5000 0.5000
0.0000 0.0000 0.0000
0.2500 0.2500 0.2500
0.7500 0.7500 0.7500
```

[4]
The following is a DFT calculation (PBE) of a relaxed structure of Hf4NiSbN2.

Summary:
Energy: -73.8 eV/cell

POSCAR file:
```
Hf4NiSbN2
1.0
3.2647 0.0000 0.0000
-1.6324 2.8273 0.0000
0.0000 0.0000 13.4357
N Sb Ni Hf
2 1 1 4
direct
0.3333 0.6667 0.7646
0.3333 0.6667 0.2354
0.0000 0.0000 0.5000
0.6667 0.3333 0.0000
0.6667 0.3333 0.3298
0.0000 0.0000 0.1407
0.0000 0.0000 0.8593
0.6667 0.3333 0.6702
```